No. 1
Below is GeTeSe2 at its PBEsol-relaxed geometry, with properties calculated at the meta-GGA SCAN level.

a = 3.703 Å, b = 3.703 Å, c = 25.635 Å
α = 90.00°, β = 90.00°, γ = 120.00°
Element x y z (fractional)
1 Ge 0.000 0.000 0.000
2 Ge 0.333 0.667 0.667
3 Ge 0.667 0.333 0.333
4 Te 0.000 0.000 0.500
5 Te 0.333 0.667 0.167
6 Te 0.667 0.333 0.833
7 Se 0.000 0.000 0.394
8 Se 0.000 0.000 0.606
9 Se 0.333 0.667 0.061
10 Se 0.333 0.667 0.272
11 Se 0.667 0.333 0.728
12 Se 0.667 0.333 0.939

Output
**ρ**: 5.9 g/cm³
**Uncorrected formation energy**: 0.026 eV/atom
**Crystal system**: trigonal
**Space group**: R-3m, No. 166


No. 2
Below is Ti2GeSe at its PBEsol-relaxed geometry, with properties calculated at the meta-GGA SCAN level.

a = 6.333 Å, b = 6.333 Å, c = 6.333 Å
α = 90.00°, β = 90.00°, γ = 90.00°
Element x y z (fractional)
1 Ti 0.250 0.250 0.250
2 Ti 0.250 0.250 0.750
3 Ti 0.250 0.750 0.250
4 Ti 0.250 0.750 0.750
5 Ti 0.750 0.250 0.250
6 Ti 0.750 0.250 0.750
7 Ti 0.750 0.750 0.250
8 Ti 0.750 0.750 0.750
9 Ge 0.000 0.000 0.000
10 Ge 0.000 0.500 0.500
11 Ge 0.500 0.000 0.500
12 Ge 0.500 0.500 0.000
13 Se 0.000 0.000 0.500
14 Se 0.000 0.500 0.000
15 Se 0.500 0.000 0.000
16 Se 0.500 0.500 0.500

Output
**ρ**: 6.5 g/cm³
**Uncorrected formation energy**: -0.474 eV/atom
**Crystal system**: cubic
**Space group**: Fm-3m, No. 225


No. 3
Below is TlGeSe3 at its PBEsol-relaxed geometry, with properties calculated at the meta-GGA SCAN level.

a = 5.001 Å, b = 5.001 Å, c = 5.001 Å
α = 90.00°, β = 90.00°, γ = 90.00°
Element x y z (fractional)
1 Tl 0.000 0.000 0.000
2 Ge 0.500 0.500 0.500
3 Se 0.000 0.500 0.500
4 Se 0.500 0.000 0.500
5 Se 0.500 0.500 0.000

Output
**ρ**: 6.8 g/cm³
**Uncorrected formation energy**: 0.077 eV/atom
**Crystal system**: cubic
**Space group**: Pm-3m, No. 221


No. 4
Below is GeWSe2 at its PBEsol-relaxed geometry, with properties calculated at the meta-GGA SCAN level.

a = 3.356 Å, b = 3.356 Å, c = 24.533 Å
α = 90.00°, β = 90.00°, γ = 120.00°
Element x y z (fractional)
1 Ge 0.000 0.000 0.000
2 Ge 0.333 0.667 0.667
3 Ge 0.667 0.333 0.333
4 W 0.000 0.000 0.500
5 W 0.333 0.667 0.167
6 W 0.667 0.333 0.833
7 Se 0.000 0.000 0.403
8 Se 0.000 0.000 0.597
9 Se 0.333 0.667 0.070
10 Se 0.333 0.667 0.264
11 Se 0.667 0.333 0.736
12 Se 0.667 0.333 0.930

Output
**ρ**: 8.6 g/cm³
**Uncorrected formation energy**: 0.806 eV/atom
**Crystal system**: trigonal
**Space group**: R-3m, No. 166


No. 5
Below is Y2GeSe at its PBEsol-relaxed geometry, with properties calculated at the meta-GGA SCAN level.

a = 7.087 Å, b = 7.087 Å, c = 7.087 Å
α = 90.00°, β = 90.00°, γ = 90.00°
Element x y z (fractional)
1 Y 0.250 0.250 0.250
2 Y 0.250 0.250 0.750
3 Y 0.250 0.750 0.250
4 Y 0.250 0.750 0.750
5 Y 0.750 0.250 0.250
6 Y 0.750 0.250 0.750
7 Y 0.750 0.750 0.250
8 Y 0.750 0.750 0.750
9 Ge 0.000 0.000 0.000
10 Ge 0.000 0.500 0.500
11 Ge 0.500 0.000 0.500
12 Ge 0.500 0.500 0.000
13 Se 0.000 0.000 0.500
14 Se 0.000 0.500 0.000
15 Se 0.500 0.000 0.000
16 Se 0.500 0.500 0.500

Output
**ρ**: 6.1 g/cm³
**Uncorrected formation energy**: -1.094 eV/atom
**Crystal system**: cubic
**Space group**: Fm-3m, No. 225


No. 6
Below is YGeSe2 at its PBEsol-relaxed geometry, with properties calculated at the meta-GGA SCAN level.

a = 3.763 Å, b = 3.763 Å, c = 25.383 Å
α = 90.00°, β = 90.00°, γ = 120.00°
Element x y z (fractional)
1 Y 0.000 0.000 0.000
2 Y 0.333 0.667 0.667
3 Y 0.667 0.333 0.333
4 Ge 0.000 0.000 0.500
5 Ge 0.333 0.667 0.167
6 Ge 0.667 0.333 0.833
7 Se 0.000 0.000 0.107
8 Se 0.000 0.000 0.893
9 Se 0.333 0.667 0.560
10 Se 0.333 0.667 0.774
11 Se 0.667 0.333 0.226
12 Se 0.667 0.333 0.440

Output
**ρ**: 5.1 g/cm³
**Uncorrected formation energy**: -0.416 eV/atom
**Crystal system**: trigonal
**Space group**: R-3m, No. 166


No. 7
Below is Si7Ge at its PBEsol-relaxed geometry, with properties calculated at the meta-GGA SCAN level.

a = 5.459 Å, b = 5.459 Å, c = 5.459 Å
α = 90.00°, β = 90.00°, γ = 90.00°
Element x y z (fractional)
1 Si 0.000 0.000 0.500
2 Si 0.000 0.500 0.000
3 Si 0.247 0.247 0.753
4 Si 0.247 0.753 0.247
5 Si 0.500 0.000 0.000
6 Si 0.753 0.247 0.247
7 Si 0.753 0.753 0.753
8 Ge 0.500 0.500 0.500

Output
**ρ**: 2.7 g/cm³
**Uncorrected formation energy**: 0.006 eV/atom
**Crystal system**: cubic
**Space group**: P-43m, No. 215


No. 8
Below is SiGe at its PBEsol-relaxed geometry, with properties calculated at the meta-GGA SCAN level.

a = 3.898 Å, b = 3.898 Å, c = 6.439 Å
α = 90.00°, β = 90.00°, γ = 120.00°
Element x y z (fractional)
1 Si 0.333 0.667 0.000
2 Si 0.667 0.333 0.500
3 Ge 0.333 0.667 0.374
4 Ge 0.667 0.333 0.874

Output
**ρ**: 3.9 g/cm³
**Uncorrected formation energy**: 0.037 eV/atom
**Crystal system**: hexagonal
**Space group**: P6_3mc, No. 186


No. 9
Below is SiGe at its PBEsol-relaxed geometry, with properties calculated at the meta-GGA SCAN level.

a = 11.077 Å, b = 5.540 Å, c = 11.078 Å
α = 90.00°, β = 90.01°, γ = 90.00°
Element x y z (fractional)
1 Si 0.001 0.000 0.126
2 Si 0.123 0.241 0.250
3 Si 0.127 0.742 0.502
4 Si 0.251 0.993 0.871
5 Si 0.253 0.500 0.623
6 Si 0.373 0.752 0.746
7 Si 0.377 0.251 0.502
8 Si 0.497 0.993 0.621
9 Si 0.503 0.493 0.379
10 Si 0.623 0.751 0.498
11 Si 0.627 0.252 0.254
12 Si 0.747 0.000 0.377
13 Si 0.749 0.493 0.129
14 Si 0.873 0.242 0.498
15 Si 0.877 0.741 0.750
16 Si 0.999 0.500 0.874
17 Ge 0.001 0.492 0.377
18 Ge 0.123 0.752 0.998
19 Ge 0.127 0.252 0.750
20 Ge 0.247 0.492 0.126
21 Ge 0.249 0.000 0.378
22 Ge 0.373 0.241 0.998
23 Ge 0.377 0.741 0.254
24 Ge 0.497 0.501 0.871
25 Ge 0.503 0.001 0.129
26 Ge 0.623 0.241 0.746
27 Ge 0.627 0.741 0.002
28 Ge 0.751 0.500 0.622
29 Ge 0.753 0.992 0.874
30 Ge 0.873 0.752 0.250
31 Ge 0.877 0.252 0.002
32 Ge 0.999 0.992 0.623

Output
**ρ**: 3.9 g/cm³
**Uncorrected formation energy**: 0.014 eV/atom
**Crystal system**: monoclinic
**Space group**: P2_1, No. 4


No. 10
Below is SiGe at its PBEsol-relaxed geometry, with properties calculated at the meta-GGA SCAN level.

a = 5.535 Å, b = 5.535 Å, c = 5.535 Å
α = 90.00°, β = 90.00°, γ = 90.00°
Element x y z (fractional)
1 Si 0.000 0.000 0.000
2 Si 0.000 0.500 0.500
3 Si 0.500 0.000 0.500
4 Si 0.500 0.500 0.000
5 Ge 0.250 0.250 0.750
6 Ge 0.250 0.750 0.250
7 Ge 0.750 0.250 0.250
8 Ge 0.750 0.750 0.750

Output
**ρ**: 3.9 g/cm³
**Uncorrected formation energy**: 0.023 eV/atom
**Crystal system**: cubic
**Space group**: F-43m, No. 216


No. 11
Below is Si2SnGe at its PBEsol-relaxed geometry, with properties calculated at the meta-GGA SCAN level.

a = 5.771 Å, b = 5.771 Å, c = 11.475 Å
α = 90.00°, β = 90.00°, γ = 90.00°
Element x y z (fractional)
1 Si 0.224 0.250 0.125
2 Si 0.250 0.724 0.375
3 Si 0.250 0.776 0.875
4 Si 0.276 0.250 0.625
5 Si 0.724 0.750 0.625
6 Si 0.750 0.224 0.875
7 Si 0.750 0.276 0.375
8 Si 0.776 0.750 0.125
9 Sn 0.000 0.000 0.500
10 Sn 0.000 0.500 0.750
11 Sn 0.500 0.000 0.250
12 Sn 0.500 0.500 0.000
13 Ge 0.000 0.000 0.000
14 Ge 0.000 0.500 0.250
15 Ge 0.500 0.000 0.750
16 Ge 0.500 0.500 0.500

Output
**ρ**: 4.3 g/cm³
**Uncorrected formation energy**: 0.124 eV/atom
**Crystal system**: tetragonal
**Space group**: I-42d, No. 122


No. 12
Below is SiSn2Ge at its PBEsol-relaxed geometry, with properties calculated at the meta-GGA SCAN level.

a = 6.050 Å, b = 6.050 Å, c = 12.102 Å
α = 90.00°, β = 90.00°, γ = 90.00°
Element x y z (fractional)
1 Si 0.000 0.000 0.000
2 Si 0.000 0.500 0.250
3 Si 0.500 0.000 0.750
4 Si 0.500 0.500 0.500
5 Sn 0.244 0.250 0.125
6 Sn 0.250 0.744 0.375
7 Sn 0.250 0.756 0.875
8 Sn 0.256 0.250 0.625
9 Sn 0.744 0.750 0.625
10 Sn 0.750 0.244 0.875
11 Sn 0.750 0.256 0.375
12 Sn 0.756 0.750 0.125
13 Ge 0.000 0.000 0.500
14 Ge 0.000 0.500 0.750
15 Ge 0.500 0.000 0.250
16 Ge 0.500 0.500 0.000

Output
**ρ**: 5.1 g/cm³
**Uncorrected formation energy**: 0.124 eV/atom
**Crystal system**: tetragonal
**Space group**: I-42d, No. 122


Looking at total magnetic moment for the records above, in order, we have 0.00, 0.00, 0.00, 0.00, 0.00, 0.00, 0.00, 0.00, 0.00, 0.00, 0.00, 0.00 μB/f.u..